Entry 1:
# Cd4Re5

An optimized crystal structure of Cd4Re5 (GGA-PBE, the Alexandria database).

The structure in extended XYZ format:
```
9
Lattice="-4.8650 4.8650 1.6106 4.8650 -4.8650 1.6106 4.8650 4.8650 -1.6106" Properties=species:S:1:pos:R:3 pbc="T T T"
Cd 3.2067 0.0000 0.0000
Cd 6.5234 0.0000 0.0000
Cd 0.0000 3.2067 0.0000
Cd 0.0000 6.5234 0.0000
Re 0.0000 0.0000 0.0000
Re 3.1842 3.1842 0.0000
Re 1.6808 -1.6808 1.6106
Re -1.6808 1.6808 1.6106
Re 1.6808 1.6808 1.6106
```

calculated volume: 152 Å³ per cell
space-group type: I4/mmm, No. 139
energy of formation: 0.76 eV per atom

---

Entry 2:
# Cd3ReRh

An optimized crystal structure of Cd3ReRh (GGA-PBE, the Alexandria database).

The structure in extended XYZ format:
```
5
Lattice="5.0751 0.0000 0.0000 0.0000 5.0751 0.0000 0.0000 0.0000 5.0751" Properties=species:S:1:pos:R:3 pbc="T T T"
Cd 0.0000 0.0000 2.5376
Cd 0.0000 2.5376 0.0000
Cd 2.5376 0.0000 0.0000
Re 2.5376 2.5376 2.5376
Rh 0.0000 0.0000 0.0000
```

calculated volume: 131 Å³ per cell
space-group type: Pm-3m, No. 221
energy of formation: 1.36 eV per atom